(1)
PBE-GGA Ca2Ag12Sn7, relaxed; space-group type = P-3; energy of formation from the pure elements = -0.08 eV/atom
1.0
4.695 0.000 0.000
0.000 9.392 -5.422
0.000 0.000 10.845
Ca Ag Sn
2 12 7
Cartesian
1.001 3.131 5.422 Ca
3.694 6.261 0.000 Ca
1.026 5.701 -2.931 Ag
1.026 4.003 1.951 Ag
1.026 9.080 0.981 Ag
3.669 3.691 8.354 Ag
3.669 5.389 3.472 Ag
3.669 0.312 4.442 Ag
0.880 1.104 2.196 Ag
0.880 1.350 8.790 Ag
0.880 6.937 5.280 Ag
3.815 8.287 3.226 Ag
3.815 8.042 -3.368 Ag
3.815 2.454 0.142 Ag
2.347 0.000 0.000 Sn
1.393 8.165 -1.633 Sn
1.393 3.895 -0.832 Sn
1.393 6.723 2.465 Sn
3.302 1.227 7.055 Sn
3.302 5.496 6.255 Sn
3.302 2.668 2.957 Sn

(2)
PBE-GGA CaAg4Sn2, relaxed; space-group type = P4_2/mnm; polymorph energy (0 for the lowest one) = 0.0 meV/atom; energy of formation from the pure elements = -0.17 eV/atom
1.0
-2.396 0.531 -3.958
2.257 -7.523 -2.375
-6.665 -3.140 3.613
Ca Sn Ag
2 4 8
Cartesian
-1.198 0.266 -1.979 Ca
-2.204 -5.331 0.619 Ca
-4.832 -4.041 2.382 Sn
0.423 -6.622 -1.145 Sn
-4.308 -7.257 -1.106 Sn
-2.496 -2.875 -1.614 Sn
-2.161 -1.929 1.049 Ag
-2.247 -8.734 0.188 Ag
-4.922 -2.690 -0.121 Ag
-1.882 -7.442 -2.599 Ag
-6.042 -5.398 0.193 Ag
-0.762 -4.733 -2.913 Ag
0.105 -3.043 -0.472 Ag
-4.514 -7.620 1.710 Ag

(3)
PBE-GGA Ca2Ag6Sn, relaxed; space-group type = C2/m; energy of formation from the pure elements = -0.24 eV/atom
1.0
5.947 0.000 0.000
-2.974 4.907 1.117
0.000 -0.035 6.878
Ca Ag Sn
2 6 1
Cartesian
2.974 1.472 1.282 Ca
0.000 3.399 6.712 Ca
4.375 1.251 4.818 Ag
2.974 3.648 5.517 Ag
1.572 1.251 4.818 Ag
-1.402 3.621 3.176 Ag
0.000 1.223 2.477 Ag
1.402 3.621 3.176 Ag
0.000 0.000 0.000 Sn

(4)
PBE-GGA Ca4AgSn3, relaxed; space-group type = Pmma; energy of formation from the pure elements = -0.57 eV/atom
1.0
-4.583 2.857 -0.622
-2.401 -2.392 6.704
4.704 8.577 4.745
Ca Sn Ag
8 6 2
Cartesian
-4.081 -0.354 4.684 Ca
-1.729 3.934 7.057 Ca
-2.903 0.819 1.398 Ca
-0.551 5.107 3.771 Ca
-2.839 7.504 7.933 Ca
-0.618 0.365 6.181 Ca
0.559 1.537 2.894 Ca
-1.662 8.677 4.647 Ca
0.000 0.000 0.000 Sn
2.352 4.288 2.373 Sn
1.243 7.857 3.249 Sn
-1.122 3.577 0.875 Sn
0.041 6.662 6.601 Sn
-2.321 2.380 4.227 Sn
-1.201 -1.196 3.352 Ag
1.151 3.092 5.725 Ag

(5)
PBE-GGA Ca2Ag15Sn2, relaxed; space-group type = R-3m; energy of formation from the pure elements = -0.09 eV/atom
1.0
7.387 -0.030 -0.027
0.928 7.328 -0.027
0.928 0.815 7.283
Ca Ag Sn
2 15 2
Cartesian
3.236 2.840 2.531 Ca
6.008 5.273 4.698 Ca
3.693 -0.015 -0.013 Ag
0.464 0.407 3.641 Ag
0.464 3.664 -0.013 Ag
0.928 5.223 2.335 Ag
5.299 2.348 -0.027 Ag
3.016 0.542 4.920 Ag
3.016 4.950 -0.027 Ag
5.299 0.243 2.335 Ag
0.928 2.920 4.920 Ag
2.445 5.349 4.766 Ag
5.621 4.933 1.172 Ag
5.621 1.730 4.766 Ag
6.799 2.764 2.463 Ag
3.623 3.180 6.057 Ag
3.623 6.383 2.463 Ag
0.945 0.829 0.739 Sn
8.298 7.283 6.490 Sn

(6)
PBE-GGA CaAg4Sn4, relaxed; space-group type = I4/m; energy of formation from the pure elements = -0.08 eV/atom
1.0
-4.999 1.184 -1.681
2.321 -2.141 -8.412
-2.508 -8.502 1.472
Ca Ag Sn
2 8 8
Cartesian
0.000 0.000 0.000 Ca
-2.593 -4.730 -4.311 Ca
-0.903 -3.074 -8.178 Ag
-4.286 -6.384 -0.445 Ag
0.144 -6.541 -5.040 Ag
-5.813 -5.664 -4.075 Ag
-4.368 -2.613 -6.226 Ag
-2.259 -0.628 -2.409 Ag
-2.923 -8.832 -6.211 Ag
-0.334 -4.101 -1.902 Ag
-3.680 -7.567 -3.068 Sn
-5.793 -7.972 -5.759 Sn
-1.501 -1.894 -5.553 Sn
-1.420 -5.665 0.228 Sn
-1.985 -6.217 -7.173 Sn
1.230 -4.977 -7.171 Sn
-4.387 -0.305 -4.542 Sn
-3.205 -3.241 -1.450 Sn

(7)
PBE-GGA Sr2CaAgSn, relaxed; space-group type = P4/mmm; energy of formation from the pure elements = -0.11 eV/atom
1.0
-5.828 -0.076 -0.924
0.624 -4.379 -3.577
-0.663 -3.766 4.494
Sr Ca Sn Ag
2 1 1 1
Cartesian
-0.332 -1.883 2.247 Sr
-2.914 -0.038 -0.462 Sr
0.312 -2.189 -1.789 Ca
-2.933 -4.111 -0.004 Sn
0.000 0.000 0.000 Ag

(8)
PBE-GGA Sr2CaAg3Sn4, relaxed; space-group type = P-4m2; energy of formation from the pure elements = -0.40 eV/atom
1.0
-3.980 2.261 -0.310
-2.281 -3.922 0.685
0.210 2.159 13.069
Sr Ca Ag Sn
2 1 3 4
Cartesian
-1.942 1.628 2.856 Sr
-0.979 -0.299 10.400 Sr
-3.026 0.249 6.722 Ca
0.105 1.080 6.534 Ag
-1.809 2.996 11.136 Ag
-1.112 -1.667 2.121 Ag
-3.131 -0.830 0.188 Sn
0.000 0.000 0.000 Sn
-1.852 2.547 8.420 Sn
-1.068 -1.218 4.836 Sn

(9)
PBE-GGA Ca2TaAgSn, relaxed; space-group type = P4/mmm; energy of formation from the pure elements = 0.82 eV/atom
1.0
5.503 0.000 0.000
0.000 5.057 0.000
0.000 0.000 5.503
Ca Sn Ag Ta
2 1 1 1
Cartesian
0.000 0.000 2.751 Ca
2.751 0.000 0.000 Ca
0.000 2.529 0.000 Sn
0.000 0.000 0.000 Ag
2.751 2.529 2.751 Ta

(10)
PBE-GGA CaAgSnTe3, relaxed; space-group type = P2_1/m
1.0
4.400 0.000 0.000
0.000 8.894 0.776
0.000 -2.633 9.133
Ca Ag Sn Te
2 2 2 6
Cartesian
3.300 5.444 7.590 Ca
1.100 0.817 2.319 Ca
1.100 -0.855 5.331 Ag
3.300 7.116 4.578 Ag
1.100 5.460 1.851 Sn
3.300 0.801 8.058 Sn
1.100 5.309 4.994 Te
3.300 7.659 1.762 Te
3.300 3.195 1.968 Te
3.300 0.952 4.915 Te
1.100 3.065 7.941 Te
1.100 -1.398 8.147 Te

(11)
PBE-GGA CaThAgSn, relaxed; space-group type = F-43m; energy of formation from the pure elements = -0.34 eV/atom
1.0
5.369 0.000 0.000
2.685 4.650 0.000
2.685 1.550 4.384
Ag Ca Sn Th
1 1 1 1
Cartesian
8.054 4.650 3.288 Ag
5.369 3.100 2.192 Ca
2.685 1.550 1.096 Sn
0.000 0.000 0.000 Th

(12)
PBE-GGA CaTi2AgSn, relaxed; space-group type = P4/mmm; energy of formation from the pure elements = 1.46 eV/atom
1.0
4.702 0.000 0.000
0.000 5.471 0.000
0.000 0.000 4.702
Ca Sn Ag Ti
1 1 1 2
Cartesian
0.000 0.000 0.000 Ca
0.000 2.735 0.000 Sn
2.351 2.735 2.351 Ag
0.000 0.000 2.351 Ti
2.351 0.000 0.000 Ti

Number 1: total energy -3.234 eV/atom. Number 2: total energy -3.231 eV/atom. Number 3: total energy -3.026 eV/atom. Number 4: total energy -3.429 eV/atom. Number 5: total energy -2.975 eV/atom. Number 6: total energy -3.344 eV/atom. Number 7: total energy -2.552 eV/atom. Number 8: total energy -3.390 eV/atom. Number 9: total energy -3.726 eV/atom. Number 10: total energy -3.625 eV/atom. Number 11: total energy -4.408 eV/atom. Number 12: total energy -3.472 eV/atom.